{
  "formula": "CaMn2O4",
  "functional": "PBE+U",
  "state": "optimized geometry",
  "lattice": [[7.921, -1.463, 0.000], [7.921, 1.463, 0.000], [-5.050, 0.000, 7.841]],
  "species": ["Ca", "Ca", "Mn", "Mn", "Mn", "Mn", "O", "O", "O", "O", "O", "O", "O", "O"],
  "fractional_positions": [[0.108, 0.108, 0.167], [0.892, 0.892, 0.833], [0.077, 0.077, 0.792], [0.334, 0.334, 0.458], [0.666, 0.666, 0.542], [0.923, 0.923, 0.208], [0.082, 0.082, 0.393], [0.266, 0.266, 0.662], [0.376, 0.376, 0.278], [0.446, 0.446, 0.078], [0.554, 0.554, 0.922], [0.624, 0.624, 0.722], [0.734, 0.734, 0.338], [0.918, 0.918, 0.607]],
  "energy_ev_per_atom": -7.1784,
  "mass_density_g_cm3": 3.911,
  "magnetic_moment_mub_per_fu": 8.000,
  "space_group": "C2/m, No. 12"
}

---

{
  "formula": "CaMnO",
  "functional": "PBE+U",
  "state": "optimized geometry",
  "lattice": [[11.492, 0.000, 0.000], [0.000, 3.213, 0.000], [0.000, 0.000, 6.456]],
  "species": ["Ca", "Ca", "Ca", "Ca", "Mn", "Mn", "Mn", "Mn", "O", "O", "O", "O"],
  "fractional_positions": [[0.124, 0.250, 0.095], [0.376, 0.750, 0.595], [0.624, 0.250, 0.405], [0.876, 0.750, 0.905], [0.090, 0.250, 0.624], [0.410, 0.750, 0.124], [0.590, 0.250, 0.876], [0.910, 0.750, 0.376], [0.079, 0.750, 0.856], [0.421, 0.250, 0.356], [0.579, 0.750, 0.644], [0.921, 0.250, 0.144]],
  "energy_ev_per_atom": -6.0319,
  "mass_density_g_cm3": 3.093,
  "magnetic_moment_mub_per_fu": 4.709,
  "space_group": "Pnma, No. 62"
}

---

{
  "formula": "Ca2MnOsO8",
  "functional": "PBE+U",
  "state": "optimized geometry",
  "lattice": [[5.029, 0.000, 0.000], [0.000, 6.244, 0.000], [-0.192, 0.000, 5.050]],
  "species": ["Ca", "Ca", "Mn", "Os", "O", "O", "O", "O", "O", "O", "O", "O"],
  "fractional_positions": [[0.000, 0.245, 0.000], [0.000, 0.755, 0.000], [0.500, 0.000, 0.500], [0.500, 0.500, 0.500], [0.239, 0.500, 0.235], [0.241, 0.000, 0.237], [0.328, 0.262, 0.668], [0.328, 0.738, 0.668], [0.672, 0.262, 0.332], [0.672, 0.738, 0.332], [0.759, 0.000, 0.763], [0.761, 0.500, 0.765]],
  "energy_ev_per_atom": -6.7741,
  "mass_density_g_cm3": 4.747,
  "magnetic_moment_mub_per_fu": 2.558,
  "space_group": "P2/m, No. 10"
}

---

{
  "formula": "Ca2MnOsO6",
  "functional": "PBE+U",
  "state": "optimized geometry",
  "lattice": [[5.659, 0.000, 0.000], [0.000, 5.659, 0.000], [0.000, 0.000, 3.808]],
  "species": ["Ca", "Ca", "Mn", "Os", "O", "O", "O", "O", "O", "O"],
  "fractional_positions": [[0.000, 0.500, 0.000], [0.500, 0.000, 0.000], [0.000, 0.000, 0.500], [0.500, 0.500, 0.500], [0.000, 0.000, 0.000], [0.256, 0.256, 0.500], [0.256, 0.744, 0.500], [0.500, 0.500, 0.000], [0.744, 0.256, 0.500], [0.744, 0.744, 0.500]],
  "energy_ev_per_atom": -7.1126,
  "mass_density_g_cm3": 5.738,
  "magnetic_moment_mub_per_fu": 3.376,
  "space_group": "P4/mmm, No. 123"
}

---

{
  "formula": "Ca2MnP2O10",
  "functional": "PBE+U",
  "state": "optimized geometry",
  "lattice": [[5.269, 0.000, 0.000], [2.138, 5.795, 0.000], [1.481, -0.386, 6.550]],
  "species": ["Ca", "Ca", "Mn", "P", "P", "O", "O", "O", "O", "O", "O", "O", "O", "O", "O"],
  "fractional_positions": [[0.173, 0.096, 0.249], [0.827, 0.904, 0.751], [0.500, 0.500, 0.000], [0.122, 0.263, 0.772], [0.878, 0.737, 0.228], [0.054, 0.514, 0.705], [0.128, 0.751, 0.051], [0.158, 0.085, 0.603], [0.381, 0.202, 0.867], [0.411, 0.379, 0.238], [0.589, 0.621, 0.762], [0.619, 0.798, 0.133], [0.842, 0.915, 0.397], [0.872, 0.249, 0.949], [0.946, 0.486, 0.295]],
  "energy_ev_per_atom": -6.8816,
  "mass_density_g_cm3": 2.964,
  "magnetic_moment_mub_per_fu": 0.981,
  "space_group": "P-1, No. 2"
}

---

{
  "formula": "CaMnP2O8",
  "functional": "PBE+U",
  "state": "optimized geometry",
  "lattice": [[4.836, 0.000, 0.000], [-2.418, 4.188, 0.000], [0.000, 0.000, 6.988]],
  "species": ["Ca", "Mn", "P", "P", "O", "O", "O", "O", "O", "O", "O", "O"],
  "fractional_positions": [[0.000, 0.000, 0.000], [0.000, 0.000, 0.500], [0.333, 0.667, 0.740], [0.667, 0.333, 0.260], [0.058, 0.335, 0.672], [0.277, 0.942, 0.672], [0.333, 0.667, 0.957], [0.335, 0.277, 0.328], [0.665, 0.723, 0.672], [0.667, 0.333, 0.043], [0.723, 0.058, 0.328], [0.942, 0.665, 0.328]],
  "energy_ev_per_atom": -7.1717,
  "mass_density_g_cm3": 3.343,
  "magnetic_moment_mub_per_fu": 2.933,
  "space_group": "P-3, No. 147"
}

---

{
  "formula": "CaMn2P2O9",
  "functional": "PBE+U",
  "state": "optimized geometry",
  "lattice": [[14.200, 0.000, 0.000], [0.000, 6.579, 0.000], [0.000, 0.000, 7.441]],
  "species": ["Ca", "Ca", "Ca", "Ca", "Mn", "Mn", "Mn", "Mn", "Mn", "Mn", "Mn", "Mn", "P", "P", "P", "P", "P", "P", "P", "P", "O", "O", "O", "O", "O", "O", "O", "O", "O", "O", "O", "O", "O", "O", "O", "O", "O", "O", "O", "O", "O", "O", "O", "O", "O", "O", "O", "O", "O", "O", "O", "O", "O", "O", "O", "O"],
  "fractional_positions": [[0.217, 0.250, 0.109], [0.283, 0.750, 0.609], [0.717, 0.250, 0.391], [0.783, 0.750, 0.891], [0.000, 0.000, 0.000], [0.000, 0.500, 0.000], [0.116, 0.250, 0.648], [0.384, 0.750, 0.148], [0.500, 0.000, 0.500], [0.500, 0.500, 0.500], [0.616, 0.250, 0.852], [0.884, 0.750, 0.352], [0.067, 0.750, 0.623], [0.196, 0.750, 0.088], [0.304, 0.250, 0.588], [0.433, 0.250, 0.123], [0.567, 0.750, 0.877], [0.696, 0.750, 0.412], [0.804, 0.250, 0.912], [0.933, 0.250, 0.377], [0.005, 0.750, 0.455], [0.006, 0.750, 0.796], [0.054, 0.250, 0.891], [0.134, 0.557, 0.088], [0.134, 0.943, 0.088], [0.135, 0.565, 0.621], [0.135, 0.935, 0.621], [0.230, 0.250, 0.436], [0.241, 0.250, 0.764], [0.259, 0.750, 0.264], [0.270, 0.750, 0.936], [0.365, 0.065, 0.121], [0.365, 0.435, 0.121], [0.366, 0.057, 0.588], [0.366, 0.443, 0.588], [0.446, 0.750, 0.391], [0.494, 0.250, 0.296], [0.495, 0.250, 0.955], [0.505, 0.750, 0.045], [0.506, 0.750, 0.704], [0.554, 0.250, 0.609], [0.634, 0.557, 0.412], [0.634, 0.943, 0.412], [0.635, 0.565, 0.879], [0.635, 0.935, 0.879], [0.730, 0.250, 0.064], [0.741, 0.250, 0.736], [0.759, 0.750, 0.236], [0.770, 0.750, 0.564], [0.865, 0.065, 0.379], [0.865, 0.435, 0.379], [0.866, 0.057, 0.912], [0.866, 0.443, 0.912], [0.946, 0.750, 0.109], [0.994, 0.250, 0.204], [0.995, 0.250, 0.545]],
  "energy_ev_per_atom": -7.3998,
  "mass_density_g_cm3": 3.401,
  "magnetic_moment_mub_per_fu": 8.000,
  "space_group": "Pnma, No. 62"
}

---

{
  "formula": "CaMn2P2O10",
  "functional": "PBE+U",
  "state": "optimized geometry",
  "lattice": [[0.000, 5.805, 8.060], [3.678, 0.000, 8.060], [3.678, 5.805, 0.000]],
  "species": ["Ca", "Ca", "Mn", "Mn", "Mn", "Mn", "P", "P", "P", "P", "O", "O", "O", "O", "O", "O", "O", "O", "O", "O", "O", "O", "O", "O", "O", "O", "O", "O", "O", "O"],
  "fractional_positions": [[0.125, 0.125, 0.125], [0.875, 0.875, 0.875], [0.000, 0.500, 0.500], [0.500, 0.000, 0.500], [0.500, 0.500, 0.000], [0.500, 0.500, 0.500], [0.082, 0.082, 0.668], [0.332, 0.332, 0.918], [0.668, 0.668, 0.082], [0.918, 0.918, 0.332], [0.046, 0.231, 0.488], [0.114, 0.434, 0.151], [0.151, 0.801, 0.114], [0.199, 0.849, 0.566], [0.231, 0.046, 0.735], [0.265, 0.512, 0.769], [0.293, 0.293, 0.457], [0.434, 0.114, 0.801], [0.457, 0.457, 0.293], [0.488, 0.735, 0.046], [0.512, 0.265, 0.954], [0.543, 0.543, 0.707], [0.566, 0.886, 0.199], [0.707, 0.707, 0.543], [0.735, 0.488, 0.231], [0.769, 0.954, 0.265], [0.801, 0.151, 0.434], [0.849, 0.199, 0.886], [0.886, 0.566, 0.849], [0.954, 0.769, 0.512]],
  "energy_ev_per_atom": -7.1334,
  "mass_density_g_cm3": 3.589,
  "magnetic_moment_mub_per_fu": 6.000,
  "space_group": "Fddd, No. 70"
}

---

{
  "formula": "CaMnP2O",
  "functional": "PBE+U",
  "state": "optimized geometry",
  "lattice": [[4.990, 0.000, 0.000], [0.000, 4.990, 0.000], [0.000, 0.000, 3.663]],
  "species": ["Ca", "Mn", "P", "P", "O"],
  "fractional_positions": [[0.000, 0.000, 0.000], [0.500, 0.500, 0.500], [0.000, 0.500, 0.500], [0.500, 0.000, 0.500], [0.500, 0.500, 0.000]],
  "energy_ev_per_atom": -5.4393,
  "mass_density_g_cm3": 3.149,
  "magnetic_moment_mub_per_fu": 2.666,
  "space_group": "P4/mmm, No. 123"
}

---

{
  "formula": "CaMnP2O",
  "functional": "PBE+U",
  "state": "optimized geometry",
  "lattice": [[5.301, 0.000, 0.000], [0.000, 5.301, 0.000], [0.000, 0.000, 4.155]],
  "species": ["Ca", "Mn", "P", "P", "O"],
  "fractional_positions": [[0.000, 0.000, 0.000], [0.500, 0.500, 0.500], [0.000, 0.500, 0.000], [0.500, 0.000, 0.000], [0.000, 0.000, 0.500]],
  "energy_ev_per_atom": -4.5551,
  "mass_density_g_cm3": 2.460,
  "magnetic_moment_mub_per_fu": 5.812,
  "space_group": "P4/mmm, No. 123"
}

---

{
  "formula": "SrCaMnP2O8",
  "functional": "PBE+U",
  "state": "optimized geometry",
  "lattice": [[5.762, 0.000, 0.000], [-1.086, 6.868, 0.000], [-1.947, -3.501, 8.797]],
  "species": ["Sr", "Sr", "Ca", "Ca", "Mn", "Mn", "P", "P", "P", "P", "O", "O", "O", "O", "O", "O", "O", "O", "O", "O", "O", "O", "O", "O", "O", "O"],
  "fractional_positions": [[0.234, 0.193, 0.443], [0.766, 0.807, 0.557], [0.491, 0.577, 0.835], [0.509, 0.423, 0.165], [0.138, 0.838, 0.061], [0.862, 0.162, 0.939], [0.119, 0.588, 0.284], [0.333, 0.036, 0.801], [0.667, 0.964, 0.199], [0.881, 0.412, 0.716], [0.083, 0.427, 0.119], [0.111, 0.452, 0.660], [0.122, 0.968, 0.869], [0.175, 0.811, 0.279], [0.230, 0.008, 0.635], [0.348, 0.552, 0.382], [0.472, 0.097, 0.186], [0.473, 0.269, 0.905], [0.527, 0.731, 0.095], [0.528, 0.903, 0.814], [0.652, 0.448, 0.618], [0.770, 0.992, 0.365], [0.825, 0.189, 0.721], [0.878, 0.032, 0.131], [0.889, 0.548, 0.340], [0.917, 0.573, 0.881]],
  "energy_ev_per_atom": -7.3718,
  "mass_density_g_cm3": 3.555,
  "magnetic_moment_mub_per_fu": 5.000,
  "space_group": "P-1, No. 2"
}

---

{
  "formula": "CaTi8MnP12O48",
  "functional": "PBE+U",
  "state": "optimized geometry",
  "lattice": [[4.307, 2.487, 14.424], [-4.307, 2.487, 14.424], [0.000, -4.974, 14.424]],
  "species": ["Ca", "Ti", "Ti", "Ti", "Ti", "Ti", "Ti", "Ti", "Ti", "Mn", "P", "P", "P", "P", "P", "P", "P", "P", "P", "P", "P", "P", "O", "O", "O", "O", "O", "O", "O", "O", "O", "O", "O", "O", "O", "O", "O", "O", "O", "O", "O", "O", "O", "O", "O", "O", "O", "O", "O", "O", "O", "O", "O", "O", "O", "O", "O", "O", "O", "O", "O", "O", "O", "O", "O", "O", "O", "O", "O", "O"],
  "fractional_positions": [[0.000, 0.000, 0.000], [0.075, 0.075, 0.075], [0.183, 0.183, 0.183], [0.320, 0.320, 0.320], [0.427, 0.427, 0.427], [0.573, 0.573, 0.573], [0.680, 0.680, 0.680], [0.817, 0.817, 0.817], [0.925, 0.925, 0.925], [0.500, 0.500, 0.500], [0.091, 0.662, 0.371], [0.135, 0.410, 0.837], [0.163, 0.865, 0.590], [0.338, 0.629, 0.909], [0.371, 0.091, 0.662], [0.410, 0.837, 0.135], [0.590, 0.163, 0.865], [0.629, 0.909, 0.338], [0.662, 0.371, 0.091], [0.837, 0.135, 0.410], [0.865, 0.590, 0.163], [0.909, 0.338, 0.629], [0.037, 0.407, 0.178], [0.040, 0.823, 0.669], [0.050, 0.862, 0.219], [0.088, 0.346, 0.453], [0.093, 0.893, 0.721], [0.107, 0.279, 0.907], [0.138, 0.781, 0.950], [0.177, 0.331, 0.960], [0.178, 0.037, 0.407], [0.189, 0.552, 0.299], [0.214, 0.587, 0.412], [0.219, 0.050, 0.862], [0.279, 0.907, 0.107], [0.299, 0.189, 0.552], [0.301, 0.436, 0.644], [0.331, 0.960, 0.177], [0.346, 0.453, 0.088], [0.356, 0.699, 0.564], [0.407, 0.178, 0.037], [0.412, 0.214, 0.587], [0.413, 0.588, 0.786], [0.436, 0.644, 0.301], [0.448, 0.701, 0.811], [0.453, 0.088, 0.346], [0.547, 0.912, 0.654], [0.552, 0.299, 0.189], [0.564, 0.356, 0.699], [0.587, 0.412, 0.214], [0.588, 0.786, 0.413], [0.593, 0.822, 0.963], [0.644, 0.301, 0.436], [0.654, 0.547, 0.912], [0.669, 0.040, 0.823], [0.699, 0.564, 0.356], [0.701, 0.811, 0.448], [0.721, 0.093, 0.893], [0.781, 0.950, 0.138], [0.786, 0.413, 0.588], [0.811, 0.448, 0.701], [0.822, 0.963, 0.593], [0.823, 0.669, 0.040], [0.862, 0.219, 0.050], [0.893, 0.721, 0.093], [0.907, 0.107, 0.279], [0.912, 0.654, 0.547], [0.950, 0.138, 0.781], [0.960, 0.177, 0.331], [0.963, 0.593, 0.822]],
  "energy_ev_per_atom": -7.9319,
  "mass_density_g_cm3": 2.898,
  "magnetic_moment_mub_per_fu": 4.943,
  "space_group": "R-3, No. 148"
}